(1)
A plane-wave DFT calculation with GGA-PBE was carried out for a geometry-optimized SrSi2 structure.

Geometry as extended XYZ:
```
12
Lattice="11.251 -2.984 0.000 11.251 2.984 0.000 -1.568 0.000 5.757" Properties=species:S:1:pos:R:3 pbc="T T T"
Sr 0.000 0.000 0.000
Sr -0.784 0.000 2.878
Sr 5.626 1.492 0.000
Sr 5.626 -1.492 0.000
Si 3.024 0.000 1.012
Si 2.339 0.000 3.562
Si 8.700 1.320 0.845
Si 12.235 1.320 4.912
Si 8.700 -1.320 0.845
Si 12.235 -1.320 4.912
Si 18.596 0.000 2.195
Si 17.910 0.000 4.745
```

Properties
The space group is No. 12. As for the formation energy without anion corrections: 1.11 eV/f.u. As for the crystal system: monoclinic. The value obtained for the total energy is -3.805 eV per atom.

(2)
A plane-wave DFT calculation with GGA-PBE was carried out for a geometry-optimized SrSi3 structure.

Geometry as extended XYZ:
```
8
Lattice="5.509 0.000 0.000 0.000 5.509 0.000 0.000 0.000 5.509" Properties=species:S:1:pos:R:3 pbc="T T T"
Sr 0.000 0.000 0.000
Sr 2.755 2.755 2.755
Si 0.000 1.377 2.755
Si 0.000 4.132 2.755
Si 1.377 2.755 0.000
Si 2.755 0.000 1.377
Si 2.755 0.000 4.132
Si 4.132 2.755 0.000
```

Properties
The space group is No. 223. As for the formation energy without anion corrections: 1.77 eV/f.u. As for the crystal system: cubic. The value obtained for the total energy is -4.046 eV per atom.